[1]
This record from Alexandria describes PrScRh2 after structural relaxation. The functional is PBE.

The formation energy from the elements comes out at -288 kJ/mol of formula units. The value obtained for the spin magnetization is 0.00 μB per formula unit. For the electronic total energy, the calculation gives -28.8 eV for the cell shown.

a = 3.3223 Å, b = 3.3223 Å, c = 7.1102 Å
α = 90.00°, β = 90.00°, γ = 90.00°
Positions (direct):
Pr: 0.5000 0.5000 0.5000
Sc: 0.5000 0.5000 0.0000
Rh: 0.0000 0.0000 0.7828
Rh: 0.0000 0.0000 0.2172


[2]
This record from Alexandria describes KTi4F12 after structural relaxation. The functional is PBE.

Its uncorrected formation energy is -3.220 eV per atom. The value obtained for the spin magnetization is 5.00 μB per formula unit. For the electronic total energy, the calculation gives -109.9 eV for the cell shown.

a = 6.9695 Å, b = 6.9695 Å, c = 6.9695 Å
α = 109.47°, β = 109.48°, γ = 109.47°
Last column: magnetic moment on the atom in μB.
Positions (direct):
K: 0.5000 0.0000 0.5000  0.00
Ti: 0.5000 0.0000 0.0000  1.15
Ti: 0.0000 0.5000 0.0000  1.15
Ti: 0.5000 0.5000 0.5000  1.15
Ti: 0.0000 0.0000 0.5000  1.15
F: 0.7456 0.2472 0.9928  -0.01
F: 0.2528 0.5062 0.2533  -0.01
F: 0.2528 0.9995 0.7467  -0.01
F: 0.5004 0.7543 0.7461  -0.01
F: 0.9918 0.2457 0.7461  -0.01
F: 0.2544 0.2472 0.5015  -0.01
F: 0.7456 0.7528 0.4985  -0.01
F: 0.4996 0.2457 0.2539  -0.01
F: 0.0082 0.7543 0.2539  -0.01
F: 0.7472 0.0005 0.2533  -0.01
F: 0.7472 0.4938 0.7467  -0.01
F: 0.2544 0.7528 0.0072  -0.01


[3]
This record from Alexandria describes La3Nd5Tm after structural relaxation. The functional is PBE.

The formation energy from the elements comes out at 347 kJ/mol of formula units. The value obtained for the spin magnetization is 0.00 μB per formula unit. For the electronic total energy, the calculation gives -79.0 eV for the cell shown.

a = 7.9615 Å, b = 7.9615 Å, c = 12.1683 Å
α = 84.79°, β = 84.79°, γ = 61.52°
Positions (direct):
La: 0.6594 0.6594 0.7771
La: 0.7342 0.7342 0.4883
La: 0.0000 0.0000 0.0000
La: 0.0000 0.0000 0.5000
La: 0.3406 0.3406 0.2229
La: 0.2658 0.2658 0.5117
Nd: 0.9154 0.3387 0.2400
Nd: 0.3288 0.6712 0.0000
Nd: 0.7547 0.7547 0.0268
Nd: 0.5032 0.5032 0.3722
Nd: 0.4968 0.4968 0.6278
Nd: 0.2453 0.2453 0.9732
Nd: 0.3387 0.9154 0.2400
Nd: 0.6712 0.3288 0.0000
Nd: 0.0846 0.6613 0.7600
Nd: 0.6613 0.0846 0.7600
Tm: 0.1089 0.1089 0.7452
Tm: 0.8911 0.8911 0.2548


[4]
This record from Alexandria describes AcTiO3F after structural relaxation. The functional is PBE.

Its uncorrected formation energy is -3.192 eV per atom. The value obtained for the spin magnetization is 0.00 μB per formula unit. For the electronic total energy, the calculation gives -95.8 eV for the cell shown.

a = 4.8340 Å, b = 7.4147 Å, c = 6.6948 Å
α = 56.37°, β = 78.57°, γ = 69.03°
Positions (direct):
Ac: 0.2500 0.3461 0.3078
Ac: 0.7500 0.6539 0.6922
Ti: 0.7500 0.0597 0.8806
Ti: 0.2500 0.9403 0.1194
O: 0.5138 0.8929 0.8844
O: 0.9862 0.2227 0.8844
O: 0.7500 0.2222 0.5556
O: 0.4862 0.1071 0.1156
O: 0.0138 0.7773 0.1156
O: 0.2500 0.7778 0.4444
F: 0.2500 0.5580 0.8839
F: 0.7500 0.4420 0.1161


[5]
This record from Alexandria describes MgSc after structural relaxation. The functional is PBE.

The formation energy from the elements comes out at 3 kJ/mol of formula units. The value obtained for the spin magnetization is 0.00 μB per formula unit. For the electronic total energy, the calculation gives -15.8 eV for the cell shown.

a = 3.2714 Å, b = 3.2714 Å, c = 10.3425 Å
α = 90.00°, β = 90.00°, γ = 120.00°
Positions (direct):
Sc: 0.3333 0.6667 0.2500
Sc: 0.6667 0.3333 0.7500
Mg: 0.0000 0.0000 0.0000
Mg: 0.0000 0.0000 0.5000


[6]
This record from Alexandria describes Pm2Si5Ir3 after structural relaxation. The functional is PBE.

Its uncorrected formation energy is -0.973 eV per atom. The value obtained for the spin magnetization is 0.00 μB per formula unit. For the electronic total energy, the calculation gives -145.9 eV for the cell shown.

a = 5.9010 Å, b = 8.2250 Å, c = 8.2250 Å
α = 89.88°, β = 68.86°, γ = 68.86°
Positions (direct):
Pm: 0.2685 0.8614 0.6010
Pm: 0.2315 0.3990 0.1386
Pm: 0.7315 0.1386 0.3990
Pm: 0.7685 0.6010 0.8614
Si: 0.3466 0.0472 0.2610
Si: 0.1534 0.7390 0.9528
Si: 0.6534 0.9528 0.7390
Si: 0.8466 0.2610 0.0472
Si: 0.2500 0.2271 0.7729
Si: 0.7500 0.7729 0.2271
Si: 0.2500 0.4991 0.5009
Si: 0.7500 0.5009 0.4991
Si: 0.2500 0.7739 0.2261
Si: 0.7500 0.2261 0.7739
Ir: 0.1113 0.2484 0.5266
Ir: 0.3887 0.4734 0.7516
Ir: 0.8887 0.7516 0.4734
Ir: 0.6113 0.5266 0.2484
Ir: 0.2500 0.9996 0.0004
Ir: 0.7500 0.0004 0.9996


[7]
This record from Alexandria describes Li2Be2Cd after structural relaxation. The functional is PBE.

The formation energy from the elements comes out at 76 kJ/mol of formula units. The value obtained for the spin magnetization is 0.00 μB per formula unit. For the electronic total energy, the calculation gives -11.4 eV for the cell shown. As for the relative energy among the computed polymorphs: 0.0 meV/atom.

a = 2.8881 Å, b = 2.8881 Å, c = 9.2423 Å
α = 81.01°, β = 81.01°, γ = 90.00°
Positions (direct):
Be: 0.7500 0.2500 0.5000
Be: 0.2500 0.7500 0.5000
Li: 0.3757 0.3757 0.2487
Li: 0.6243 0.6243 0.7513
Cd: 0.0000 0.0000 0.0000


[8]
This record from Alexandria describes YNiOs3 after structural relaxation. The functional is PBE.

The formation energy from the elements comes out at 1562 kJ/mol of formula units. The value obtained for the spin magnetization is 3.46 μB per formula unit. For the electronic total energy, the calculation gives -29.7 eV for the cell shown. As for the relative energy among the computed polymorphs: 2092.8 meV/atom.

a = 4.8025 Å, b = 4.8025 Å, c = 4.8025 Å
α = 90.00°, β = 90.00°, γ = 90.00°
Last column: magnetic moment on the atom in μB.
Positions (direct):
Y: 0.0000 0.0000 0.0000  0.06
Ni: 0.5000 0.5000 0.5000  -0.98
Os: 0.0000 0.5000 0.0000  -0.87
Os: 0.0000 0.0000 0.5000  -0.75
Os: 0.5000 0.0000 0.0000  -0.89


[9]
This record from Alexandria describes Zr3TiBi2 after structural relaxation. The functional is PBE.

The formation energy from the elements comes out at -172 kJ/mol of formula units. The value obtained for the spin magnetization is 0.00 μB per formula unit. For the electronic total energy, the calculation gives -43.1 eV for the cell shown. As for the relative energy among the computed polymorphs: 0.0 meV/atom.

a = 3.9997 Å, b = 4.3112 Å, c = 8.5395 Å
α = 104.39°, β = 103.57°, γ = 90.01°
Positions (direct):
Zr: 0.5000 0.5000 0.0000
Zr: 0.8239 0.3270 0.6487
Zr: 0.1761 0.6730 0.3513
Ti: 0.0000 0.0000 0.0000
Bi: 0.3639 0.8661 0.7284
Bi: 0.6361 0.1339 0.2716


[10]
This record from Alexandria describes LiMg4F8 after structural relaxation. The functional is PBE.

Its uncorrected formation energy is -3.112 eV per atom. The value obtained for the spin magnetization is 0.00 μB per formula unit. For the electronic total energy, the calculation gives -63.7 eV for the cell shown.

a = 6.2696 Å, b = 6.2696 Å, c = 6.2696 Å
α = 60.00°, β = 60.00°, γ = 60.00°
Positions (direct):
Li: 0.7500 0.7500 0.7500
Mg: 0.8808 0.3731 0.3731
Mg: 0.3731 0.8808 0.3731
Mg: 0.3731 0.3731 0.8808
Mg: 0.3731 0.3731 0.3731
F: 0.5670 0.1443 0.1443
F: 0.1443 0.5670 0.1443
F: 0.1443 0.1443 0.5670
F: 0.1443 0.1443 0.1443
F: 0.1685 0.6105 0.6105
F: 0.6105 0.1685 0.6105
F: 0.6105 0.6105 0.1685
F: 0.6105 0.6105 0.6105


[11]
This record from Alexandria describes TePIrPt after structural relaxation. The functional is PBE.

Its uncorrected formation energy is -0.235 eV per atom. The value obtained for the spin magnetization is 0.00 μB per formula unit. For the electronic total energy, the calculation gives -73.2 eV for the cell shown. As for the relative energy among the computed polymorphs: 67.5 meV/atom.

a = 3.7801 Å, b = 3.7801 Å, c = 21.0113 Å
α = 90.00°, β = 90.00°, γ = 120.00°
Positions (direct):
Te: 0.0000 0.0000 0.9487
Te: 0.3333 0.6667 0.6153
Te: 0.6667 0.3333 0.2820
P: 0.0000 0.0000 0.8010
P: 0.3333 0.6667 0.4677
P: 0.6667 0.3333 0.1343
Ir: 0.0000 0.0000 0.4350
Ir: 0.3333 0.6667 0.1016
Ir: 0.6667 0.3333 0.7683
Pt: 0.0000 0.0000 0.6832
Pt: 0.3333 0.6667 0.3498
Pt: 0.6667 0.3333 0.0165


[12]
This record from Alexandria describes Cs2ThInSe4 after structural relaxation. The functional is PBE.

Its uncorrected formation energy is -1.080 eV per atom. The value obtained for the spin magnetization is 0.00 μB per formula unit. For the electronic total energy, the calculation gives -68.9 eV for the cell shown.

a = 7.1103 Å, b = 8.6138 Å, c = 13.7269 Å
α = 83.86°, β = 74.99°, γ = 65.62°
Positions (direct):
Cs: 0.1816 0.0000 0.6367
Cs: 0.8184 0.0000 0.3633
Cs: 0.5684 0.5000 0.8633
Cs: 0.9316 0.5000 0.1367
Th: 0.7500 0.5000 0.5000
Th: 0.0000 0.0000 0.0000
In: 0.2500 0.5000 0.5000
In: 0.5000 0.0000 0.0000
Se: 0.2974 0.7975 0.1075
Se: 0.2024 0.2025 0.8925
Se: 0.9051 0.7975 0.8925
Se: 0.5952 0.2025 0.1075
Se: 0.4526 0.7025 0.3925
Se: 0.5476 0.2975 0.6075
Se: 0.8449 0.7025 0.6075
Se: 0.1548 0.2975 0.3925